# Tb2AsH

A geometry-optimized Tb2AsH structure (PBE-GGA, the Alexandria database).

Results
Energy (eV per atom): -5.249
Symmetry: No. 156
Volume (Å³/f.u.): 87.1

abc: 3.969 3.969 6.383
angles: 90.00 90.00 120.00
Element x y z (fractional)
Tb  0.000  0.000  0.000
Tb  0.333  0.667  0.535
As  0.667  0.333  0.271
H  0.333  0.667  0.890

# Ac2MgCd6Rh

A geometry-optimized Ac2MgCd6Rh structure (PBE-GGA, the Alexandria database).

Results
Energy (eV per atom): -2.320
Symmetry: No. 139
Volume (Å³/f.u.): 284.7

abc: 7.383 7.383 7.383
angles: 119.95 119.95 90.08
Element x y z (fractional)
Ac  0.250  0.750  0.500
Ac  0.750  0.250  0.500
Mg  0.000  0.000  0.000
Cd  0.253  0.253  0.000
Cd  0.253  0.253  0.507
Cd  0.253  0.747  0.000
Cd  0.747  0.253  0.000
Cd  0.747  0.747  0.000
Cd  0.747  0.747  0.493
Rh  0.500  0.500  0.000

# KScMo3

A geometry-optimized KScMo3 structure (PBE-GGA, the Alexandria database).

Results
Energy (eV per atom): -5.768
Symmetry: No. 221
Volume (Å³/f.u.): 115.6

abc: 4.871 4.871 4.871
angles: 90.00 90.00 90.00
Element x y z (fractional)
K  0.000  0.000  0.000
Sc  0.500  0.500  0.500
Mo  0.000  0.500  0.500
Mo  0.500  0.000  0.500
Mo  0.500  0.500  0.000

# LiTl3Ag2Br6

A geometry-optimized LiTl3Ag2Br6 structure (PBE-GGA, the Alexandria database).

Results
Symmetry: No. 12
E_form (uncorrected) (eV/atom): -0.76
Volume (Å³/f.u.): 359.0

abc: 7.475 7.475 7.824
angles: 99.14 99.14 119.99
Element x y z (fractional)
Li  0.000  0.000  0.000
Tl  0.169  0.831  0.500
Tl  0.500  0.500  0.500
Tl  0.831  0.169  0.500
Ag  0.334  0.666  0.000
Ag  0.666  0.334  0.000
Br  0.068  0.392  0.202
Br  0.256  0.256  0.791
Br  0.392  0.068  0.202
Br  0.608  0.932  0.798
Br  0.744  0.744  0.209
Br  0.932  0.608  0.798

# Pm2MnBePt6

A geometry-optimized Pm2MnBePt6 structure (PBE-GGA, the Alexandria database).

Results
Energy (eV per atom): -6.594
Symmetry: No. 166
Volume (Å³/f.u.): 188.1

abc: 7.380 7.380 7.380
angles: 45.77 45.77 45.77
Element x y z (fractional)
Pm  0.212  0.212  0.212
Pm  0.788  0.788  0.788
Mn  0.500  0.500  0.500
Be  0.000  0.000  0.000
Pt  0.240  0.240  0.722
Pt  0.240  0.722  0.240
Pt  0.278  0.760  0.760
Pt  0.722  0.240  0.240
Pt  0.760  0.278  0.760
Pt  0.760  0.760  0.278

# SmY2Tm2

A geometry-optimized SmY2Tm2 structure (PBE-GGA, the Alexandria database).

Results
Energy (eV per atom): -5.301
Symmetry: No. 14
Volume (Å³/f.u.): 158.4

abc: 14.548 7.128 6.171
angles: 90.00 98.07 90.00
Element x y z (fractional)
Sm  0.199  0.125  0.151
Sm  0.199  0.375  0.651
Sm  0.801  0.625  0.349
Sm  0.801  0.875  0.849
Y  0.199  0.627  0.147
Y  0.199  0.873  0.647
Y  0.400  0.124  0.883
Y  0.400  0.376  0.383
Y  0.600  0.624  0.617
Y  0.600  0.876  0.117
Y  0.801  0.127  0.353
Y  0.801  0.373  0.853
Tm  0.000  0.125  0.751
Tm  0.000  0.375  0.251
Tm  0.000  0.625  0.749
Tm  0.000  0.875  0.249
Tm  0.400  0.625  0.884
Tm  0.400  0.875  0.384
Tm  0.600  0.125  0.616
Tm  0.600  0.375  0.116

# TePb

A geometry-optimized TePb structure (PBE-GGA, the Alexandria database).

Results
Symmetry: No. 166
E_form (uncorrected) (eV/atom): -0.24
Volume (Å³/f.u.): 76.2

abc: 9.175 9.175 9.175
angles: 28.19 28.19 28.19
Element x y z (fractional)
Te  0.112  0.112  0.112
Te  0.888  0.888  0.888
Pb  0.384  0.384  0.384
Pb  0.616  0.616  0.616

# AcBe2Ge2

A geometry-optimized AcBe2Ge2 structure (PBE-GGA, the Alexandria database).

Results
Energy (eV per atom): -4.470
Symmetry: No. 139
Volume (Å³/f.u.): 91.7

abc: 6.145 6.145 6.145
angles: 140.86 140.86 56.55
Element x y z (fractional)
Ac  0.000  0.000  0.000
Be  0.250  0.750  0.500
Be  0.750  0.250  0.500
Ge  0.361  0.361  0.000
Ge  0.639  0.639  0.000